The following is a PBE calculation of a relaxed structure of La2Tb2PmCd5, from the Alexandria database.

## Properties
Spin magnetization, μB/cell: 0.0
VASP energy, eV per cell: -61.2
N(E_F), states/eV/cell: 13.160
Symmetry: P4/mbm
Calculated formation energy, meV per atom: -214
Crystal system: tetragonal

abc: 4.8618 10.7662 10.7662
angles: 90.00 90.00 90.00
Fractional positions:
Cd (0.5000, 0.0689, 0.8036)
Cd (0.5000, 0.9311, 0.1964)
Cd (0.5000, 0.0000, 0.5000)
Cd (0.5000, 0.3036, 0.5689)
Cd (0.5000, 0.6964, 0.4311)
Cd (0.5000, 0.1964, 0.0689)
Cd (0.5000, 0.4311, 0.3036)
Cd (0.5000, 0.5689, 0.6964)
Cd (0.5000, 0.5000, 0.0000)
Cd (0.5000, 0.8036, 0.9311)
Tb (0.0000, 0.3773, 0.1227)
Tb (0.0000, 0.6227, 0.8773)
Tb (0.0000, 0.1227, 0.6227)
Tb (0.0000, 0.8773, 0.3773)
La (0.0000, 0.6761, 0.1761)
La (0.0000, 0.3239, 0.8239)
La (0.0000, 0.8239, 0.6761)
La (0.0000, 0.1761, 0.3239)
Pm (0.0000, 0.5000, 0.5000)
Pm (0.0000, 0.0000, 0.0000)



The following is a PBE calculation of a relaxed structure of Ta2CrIrC, from the Alexandria database.

## Properties
Spin magnetization, μB/cell: 0.0
VASP energy, eV per cell: -53.0
N(E_F), states/eV/cell: 5.070
Symmetry: P4/mmm
Calculated formation energy, meV per atom: -321
Crystal system: tetragonal

abc: 4.2958 4.2958 3.7853
angles: 90.00 90.00 90.00
Fractional positions:
Cr (0.0000, 0.0000, 0.5000)
C (0.0000, 0.0000, 0.0000)
Ta (0.0000, 0.5000, 0.0000)
Ta (0.5000, 0.0000, 0.0000)
Ir (0.5000, 0.5000, 0.5000)



The following is a PBE calculation of a relaxed structure of Pm3Zn7Ir4, from the Alexandria database.

## Properties
Spin magnetization, μB/cell: 0.0
VASP energy, eV per cell: -65.0
N(E_F), states/eV/cell: 6.696
Symmetry: C2/m
Calculated formation energy, meV per atom: -459
Crystal system: monoclinic

abc: 4.2388 8.0986 8.4681
angles: 71.06 75.51 74.83
Fractional positions:
Ir (0.8900, 0.9006, 0.3194)
Ir (0.1100, 0.0994, 0.6806)
Ir (0.3352, 0.5521, 0.7776)
Ir (0.6648, 0.4479, 0.2224)
Pm (0.3007, 0.1871, 0.2116)
Pm (0.0000, 0.5000, 0.5000)
Pm (0.6993, 0.8129, 0.7884)
Zn (0.4915, 0.2227, 0.7943)
Zn (0.0000, 0.0000, 0.0000)
Zn (0.3231, 0.8356, 0.5181)
Zn (0.1516, 0.6183, 0.0784)
Zn (0.6769, 0.1644, 0.4819)
Zn (0.8484, 0.3817, 0.9216)
Zn (0.5085, 0.7773, 0.2057)



The following is a PBE calculation of a relaxed structure of Pm2Nd2DyY, from the Alexandria database.

## Properties
Spin magnetization, μB/cell: 0.0
VASP energy, eV per cell: -59.6
N(E_F), states/eV/cell: 18.203
Symmetry: Pmma
Calculated formation energy, meV per atom: 53
Crystal system: orthorhombic

abc: 5.7229 7.1118 9.9250
angles: 90.00 90.00 90.00
Fractional positions:
Nd (0.5000, 0.0076, 0.0000)
Nd (0.0000, 0.7576, 0.8241)
Nd (0.5000, 0.5076, 0.0000)
Nd (0.0000, 0.2576, 0.1759)
Y (0.0000, 0.5076, 0.5000)
Y (0.0000, 0.0076, 0.5000)
Dy (0.5000, 0.7576, 0.3408)
Dy (0.5000, 0.2576, 0.6592)
Pm (0.5000, 0.7576, 0.6700)
Pm (0.0000, 0.2576, 0.8378)
Pm (0.5000, 0.2576, 0.3300)
Pm (0.0000, 0.7576, 0.1622)



> Number 1 is which compound?

La2Tb2PmCd5